# K2Sn2Sb

A geometry-optimized K2Sn2Sb structure (GGA-PBE, Alexandria via LeMat-Bulk).

The space group is P4/mbm (No. 127) and the conventional cell measures 10.393, 10.393 and 3.226 Å, with angles of 90.00, 90.00 and 90.00 degrees. The asymmetric unit holds K at (0.202, 0.298, 0.000), Sn at (0.095, 0.595, 0.500) and Sb at (0.000, 0.000, 0.500).

The calculation puts the volume at 34.84 Å³/atom. The value obtained for the density of states at the Fermi level is 3.9 states/eV/cell. The value obtained for the uncorrected formation energy is 0.0217 eV per atom.



# Ce2HoGa3Pt4

A geometry-optimized Ce2HoGa3Pt4 structure (GGA-PBE, Alexandria via LeMat-Bulk).

The space group is P-4m2 (No. 115) and the conventional cell measures 4.218, 4.218 and 11.523 Å, with angles of 90.00, 90.00 and 90.00 degrees. The asymmetric unit holds Ce at (0.000, 0.500, 0.232), Ho at (0.000, 0.000, 0.500), Ga at (0.000, 0.500, 0.876), Ga at (0.500, 0.500, 0.500), Pt at (0.000, 0.000, 0.000), Pt at (0.000, 0.500, 0.659) and Pt at (0.500, 0.500, 0.000).

The calculation puts the volume at 20.50 Å³/atom. Its energy of formation is -0.938 eV/atom. The value obtained for the density of states at the Fermi level is 14.9 states/eV/cell.



# Ce2PmPr

A geometry-optimized Ce2PmPr structure (GGA-PBE, Alexandria via LeMat-Bulk).

The space group is R-3m (No. 166, hexagonal axes) and the conventional cell measures 3.4369, 3.4369 and 37.4081 Å, with angles of 90.00, 90.00 and 120.00 degrees. The asymmetric unit holds Ce at (0.0000, 0.0000, 0.0874), Pm at (0.0000, 0.0000, 0.5000) and Pr at (0.0000, 0.0000, 0.0000).

The calculation puts the volume at 31.89 Å³/atom. Its energy of formation is 0.241 eV/atom. The value obtained for the density of states at the Fermi level is 33.0 states/eV/cell.



# La12Tl3Ag

A geometry-optimized La12Tl3Ag structure (GGA-PBE, Alexandria via LeMat-Bulk).

The space group is P4/mmm (No. 123) and the conventional cell measures 5.069, 5.069 and 20.108 Å, with angles of 90.00, 90.00 and 90.00 degrees. The asymmetric unit holds La at (0.000, 0.000, 0.000), La at (0.000, 0.000, 0.247), La at (0.000, 0.000, 0.500), La at (0.000, 0.500, 0.122), La at (0.000, 0.500, 0.374), Tl at (0.500, 0.500, 0.247), Tl at (0.500, 0.500, 0.500) and Ag at (0.500, 0.500, 0.000).

The calculation puts the volume at 32.29 Å³/atom. Its energy of formation is -0.185 eV/atom. The value obtained for the density of states at the Fermi level is 23.3 states/eV/cell.



# LaSc2

A geometry-optimized LaSc2 structure (GGA-PBE, Alexandria via LeMat-Bulk).

The space group is C2/c (No. 15) and the conventional cell measures 10.399, 6.026 and 6.422 Å, with angles of 90.00, 122.24 and 90.00 degrees. The asymmetric unit holds La at (0.000, 0.094, 0.250) and Sc at (0.164, 0.421, 0.758).

The calculation puts the volume at 28.36 Å³/atom. Its energy of formation is 0.068 eV/atom. The value obtained for the density of states at the Fermi level is 19.4 states/eV/cell.



# TlCd2InHg4

A geometry-optimized TlCd2InHg4 structure (GGA-PBE, Alexandria via LeMat-Bulk).

The space group is P2/m (No. 10) and the conventional cell measures 6.531, 3.499 and 9.437 Å, with angles of 90.00, 100.63 and 90.00 degrees. The asymmetric unit holds Tl at (0.000, 0.000, 0.000), Cd at (0.000, 0.500, 0.500), Cd at (0.500, 0.000, 0.500), In at (0.500, 0.500, 0.000), Hg at (0.247, 0.000, 0.740) and Hg at (0.265, 0.500, 0.261).

The calculation puts the volume at 26.50 Å³/atom. Its energy of formation is 0.016 eV/atom. The value obtained for the density of states at the Fermi level is 2.5 states/eV/cell.



# Ag2SbPb

A geometry-optimized Ag2SbPb structure (GGA-PBE, Alexandria via LeMat-Bulk).

The space group is Cmmm (No. 65) and the conventional cell measures 6.515, 8.507 and 3.399 Å, with angles of 90.00, 90.00 and 90.00 degrees. The asymmetric unit holds Ag at (0.250, 0.250, 0.000), Sb at (0.000, 0.000, 0.500) and Pb at (0.000, 0.500, 0.500).

The calculation puts the volume at 23.55 Å³/atom. The value obtained for the density of states at the Fermi level is 2.1 states/eV/cell. The value obtained for the uncorrected formation energy is 0.1178 eV per atom.



# CeSnHg

A geometry-optimized CeSnHg structure (GGA-PBE, Alexandria via LeMat-Bulk).

The space group is Imm2 (No. 44) and the conventional cell measures 5.007, 7.369 and 8.688 Å, with angles of 90.00, 90.00 and 90.00 degrees. The asymmetric unit holds Ce at (0.000, 0.000, 0.000), Ce at (0.000, 0.500, 0.024), Sn at (0.000, 0.245, 0.347) and Hg at (0.000, 0.292, 0.680).

The calculation puts the volume at 26.72 Å³/atom. Its energy of formation is -0.399 eV/atom. The value obtained for the density of states at the Fermi level is 29.5 states/eV/cell.



Question: Look up the volume of the fourth one.
Answer: 32.29 Å³/atom



Question: Among the records above, which one has the lowest density of states at the Fermi level?
Answer: Ag2SbPb



Question: The lowest density of states at the Fermi level belongs to which entry?
Answer: Ag2SbPb



Question: Number 4 is which compound?
Answer: La12Tl3Ag